[1]
Density functional theory data (GGA-PBE) for a relaxed structure of FeSiPb2.

abc: 3.290 3.290 8.129
angles: 90.00 90.00 90.00
Fractional coordinates of all 4 atoms:
Fe  0.000  0.000  0.000
Si  0.000  0.000  0.500
Pb  0.500  0.500  0.226
Pb  0.500  0.500  0.774

---

[2]
Density functional theory data (GGA-PBE) for a relaxed structure of FeSiPb.

abc: 5.834 5.834 5.834
angles: 148.31 148.31 45.42
Fractional coordinates of all 3 atoms:
Fe  0.000  0.000  0.000
Si  0.428  0.428  0.000
Pb  0.707  0.707  0.000

Values from the calculation:
Offset from the most stable computed form ... 0 meV per atom

---

[3]
Density functional theory data (GGA-PBE) for a relaxed structure of FeSiPb2.

abc: 5.909 5.909 5.909
angles: 138.18 138.18 60.63
Fractional coordinates of all 4 atoms:
Fe  0.000  0.000  0.000
Si  0.750  0.250  0.500
Pb  0.250  0.750  0.500
Pb  0.500  0.500  0.000

---

[4]
Density functional theory data (GGA-PBE) for a relaxed structure of FeSiPb2.

abc: 3.760 3.746 6.359
angles: 90.00 98.40 90.00
Fractional coordinates of all 4 atoms:
Fe  0.000  0.000  0.000
Si  0.000  0.000  0.500
Pb  0.493  0.500  0.244
Pb  0.507  0.500  0.756

---

| no. | formation energy from raw total energies (eV/atom) | magnetization (Bohr magnetons per cell) | DOS(E_F) (states/eV/cell) |
| --- | --- | --- | --- |
| 1 | 0.67 | 2.506 | 4.34 |
| 2 | 0.30 | 1.581 | 2.15 |
| 3 | 0.71 | 2.854 | 4.57 |
| 4 | 0.69 | 2.737 | 3.87 |